(1)
DyTl2AgBr6 | Alexandria via LeMat-Bulk | GGA-PBE | optimized geometry; space group = P2_1/c, No. 14; crystal system = monoclinic; E_form (uncorrected) = -1.16 eV per atom
1.0
-0.945 4.608 -6.046
-7.862 0.680 1.748
2.115 8.690 6.130
Br Dy Tl Ag
12 2 4 2
Direct
0.188 0.208 0.048
0.312 0.708 0.452
0.298 0.691 0.048
0.400 0.980 0.750
0.202 0.191 0.452
0.812 0.792 0.952
0.900 0.520 0.250
0.702 0.309 0.952
0.798 0.809 0.548
0.600 0.020 0.250
0.100 0.480 0.750
0.688 0.292 0.548
0.500 0.000 0.500
0.000 0.500 0.000
0.474 0.421 0.247
0.974 0.079 0.747
0.526 0.579 0.753
0.026 0.921 0.253
0.500 0.000 0.000
0.000 0.500 0.500

---

(2)
H2IrOs2 | Alexandria via LeMat-Bulk | GGA-PBE | optimized geometry; space group = I4/mmm, No. 139; crystal system = tetragonal; raw total energy = -7.088 eV/atom
1.0
3.495 0.000 0.000
0.000 3.495 0.000
1.747 1.747 4.055
H Os Ir
2 2 1
Direct
0.750 0.250 0.500
0.250 0.750 0.500
0.661 0.661 0.678
0.339 0.339 0.322
0.000 0.000 0.000

---

Number 1: total moment 0.00 μB/cell. Number 2: total moment 0.00 μB/cell.